Here is a relaxed structure of Nd6Sb2Te3Pb from Alexandria via LeMat-Bulk. Energies are from GGA-PBE.

Output
- E_form (uncorrected) (eV/atom) = -1.246

Geometry as CIF:
```
data_Nd6Sb2Te3Pb
_chemical_formula_sum 'Nd12 Sb4 Te6 Pb2'
_cell_length_a 19.7561
_cell_length_b 4.5351
_cell_length_c 9.0581
_cell_angle_alpha 90.00
_cell_angle_beta 103.32
_cell_angle_gamma 90.00
_space_group_name_H-M_alt 'C 1 2/m 1'
_space_group_IT_number 12
_space_group_name_Hall '-C 2y'
loop_
_atom_site_label
_atom_site_fract_x
_atom_site_fract_y
_atom_site_fract_z
_atom_site_occupancy
Nd1 0.0018 0.0000 0.2459 1
Nd2 0.1647 0.5000 0.0880 1
Nd3 0.1688 0.5000 0.5777 1
Sb1 0.1669 0.0000 0.3335 1
Te1 0.0000 0.5000 0.5000 1
Te2 0.1671 0.0000 0.8328 1
Pb1 0.0000 0.5000 0.0000 1
```

---

Here is a relaxed structure of Rb3Ca2NpSe6 from Alexandria via LeMat-Bulk. Energies are from GGA-PBE.

Output
- E_form (uncorrected) (eV/atom) = -1.447

Geometry as CIF:
```
data_Rb3Ca2NpSe6
_chemical_formula_sum 'Rb6 Ca4 Np2 Se12'
_cell_length_a 7.4614
_cell_length_b 12.9180
_cell_length_c 8.3291
_cell_angle_alpha 90.00
_cell_angle_beta 107.37
_cell_angle_gamma 90.00
_space_group_name_H-M_alt 'C 1 2/m 1'
_space_group_IT_number 12
_space_group_name_Hall '-C 2y'
loop_
_atom_site_label
_atom_site_fract_x
_atom_site_fract_y
_atom_site_fract_z
_atom_site_occupancy
Rb1 0.0000 0.0000 0.0000 1
Rb2 0.0000 0.3280 0.0000 1
Ca1 0.0000 0.1662 0.5000 1
Np1 0.0000 0.5000 0.5000 1
Se1 0.2208 0.3441 0.6946 1
Se2 0.2452 0.5000 0.3039 1
```

---

Here is a relaxed structure of Ac10Pm4Pr from Alexandria via LeMat-Bulk. Energies are from GGA-PBE.

Output
- energy of formation (eV/atom) = 0.58

Geometry as CIF:
```
data_Ac10Pm4Pr
_chemical_formula_sum 'Ac20 Pm8 Pr2'
_cell_length_a 13.1675
_cell_length_b 13.1675
_cell_length_c 8.3038
_cell_angle_alpha 90.00
_cell_angle_beta 90.00
_cell_angle_gamma 90.00
_space_group_name_H-M_alt 'I 4/m'
_space_group_IT_number 87
_space_group_name_Hall '-I 4'
loop_
_atom_site_label
_atom_site_fract_x
_atom_site_fract_y
_atom_site_fract_z
_atom_site_occupancy
Ac1 0.0000 0.5000 0.2500 1
Ac2 0.1001 0.2006 0.2493 1
Pm1 0.1001 0.7002 0.0000 1
Pr1 0.0000 0.0000 0.5000 1
```

---

Here is a relaxed structure of Tl2InCo from Alexandria via LeMat-Bulk. Energies are from GGA-PBE.

Output
- excess energy over the best structure of this formula in the dataset (meV/atom) = 324
- energy of formation (eV/atom) = 0.55

Geometry as CIF:
```
data_Tl2InCo
_chemical_formula_sum 'Tl2 In1 Co1'
_cell_length_a 4.5521
_cell_length_b 4.5521
_cell_length_c 4.4577
_cell_angle_alpha 90.00
_cell_angle_beta 90.00
_cell_angle_gamma 90.00
_space_group_name_H-M_alt 'P 4/m m m'
_space_group_IT_number 123
_space_group_name_Hall '-P 4 2'
loop_
_atom_site_label
_atom_site_fract_x
_atom_site_fract_y
_atom_site_fract_z
_atom_site_occupancy
Tl1 0.0000 0.5000 0.0000 1
In1 0.0000 0.0000 0.5000 1
Co1 0.5000 0.5000 0.5000 1
```

---

Number 1: calculated total energy -5.412 eV/atom, theoretical density 7.145 Mg/m³, DOS at the Fermi energy 0.41 states/eV per atom. Number 2: calculated total energy -4.843 eV/atom, theoretical density 4.540 Mg/m³, DOS at the Fermi energy 0.67 states/eV per atom. Number 3: calculated total energy -3.741 eV/atom, theoretical density 6.899 Mg/m³, DOS at the Fermi energy 1.55 states/eV per atom. Number 4: calculated total energy -3.094 eV/atom, theoretical density 10.472 Mg/m³, DOS at the Fermi energy 1.22 states/eV per atom.